No. 1
Mg3ScV: relaxed, GGA-PBE.

Values from the calculation:
Final energy ... -3.282 eV per atom
DOS(E_F) ... 4.68 states/eV/cell
Crystal system ... cubic
Energy relative to the lowest polymorph listed for this composition ... 0.0 meV/atom

Cell: 5.048 5.048 5.048 Å, 90.00 90.00 90.00°
Fractional coordinates of all 5 atoms:
Mg 0.000 0.000 0.500
Mg 0.000 0.500 0.000
Mg 0.500 0.000 0.000
Sc 0.500 0.500 0.500
V 0.000 0.000 0.000

=====

No. 2
MgSc3V: relaxed, GGA-PBE.

Values from the calculation:
Final energy ... -5.488 eV per atom
DOS(E_F) ... 5.78 states/eV/cell
Crystal system ... cubic
Energy relative to the lowest polymorph listed for this composition ... 0.0 meV/atom

Cell: 4.987 4.987 4.987 Å, 90.00 90.00 90.00°
Fractional coordinates of all 5 atoms:
Mg 0.000 0.000 0.000
Sc 0.000 0.500 0.500
Sc 0.500 0.000 0.500
Sc 0.500 0.500 0.000
V 0.500 0.500 0.500

=====

No. 3
MgSc2V2: relaxed, GGA-PBE.

Values from the calculation:
Final energy ... -6.265 eV per atom
DOS(E_F) ... 13.54 states/eV/cell
Crystal system ... tetragonal

Cell: 7.806 7.806 3.296 Å, 90.00 90.00 90.00°
Fractional coordinates of all 10 atoms:
Mg 0.000 0.000 0.000
Mg 0.500 0.500 0.000
Sc 0.200 0.300 0.500
Sc 0.300 0.800 0.500
Sc 0.700 0.200 0.500
Sc 0.800 0.700 0.500
V 0.088 0.588 0.000
V 0.412 0.088 0.000
V 0.588 0.912 0.000
V 0.912 0.412 0.000

=====

No. 4
MgSc3V: relaxed, GGA-PBE.

Values from the calculation:
Final energy ... -4.803 eV per atom
DOS(E_F) ... 11.20 states/eV/cell
Crystal system ... cubic
Energy relative to the lowest polymorph listed for this composition ... 685.3 meV/atom

Cell: 5.154 5.154 5.154 Å, 90.00 90.00 90.00°
Fractional coordinates of all 5 atoms:
Mg 0.000 0.000 0.000
Sc 0.000 0.000 0.500
Sc 0.000 0.500 0.000
Sc 0.500 0.000 0.000
V 0.500 0.500 0.500

=====

No. 5
MgScVW2: relaxed, GGA-PBE.

Values from the calculation:
Final energy ... -7.516 eV per atom
DOS(E_F) ... 6.08 states/eV/cell
Crystal system ... tetragonal

Cell: 4.527 4.527 4.924 Å, 90.00 90.00 90.00°
Fractional coordinates of all 5 atoms:
Mg 0.000 0.000 0.000
Sc 0.500 0.500 0.000
V 0.000 0.000 0.500
W 0.000 0.500 0.500
W 0.500 0.000 0.500

=====

No. 6
MgZrScV: relaxed, GGA-PBE.

Values from the calculation:
Final energy ... -6.263 eV per atom
DOS(E_F) ... 2.74 states/eV/cell
Crystal system ... cubic

Cell: 4.886 4.886 4.886 Å, 60.00 60.00 60.00°
Fractional coordinates of all 4 atoms:
Mg 0.000 0.000 0.000
Zr 0.750 0.750 0.750
Sc 0.250 0.250 0.250
V 0.500 0.500 0.500

=====

No. 7
MgScW2: relaxed, GGA-PBE.

Values from the calculation:
Final energy ... -8.192 eV per atom
DOS(E_F) ... 3.26 states/eV/cell
Crystal system ... monoclinic

Cell: 2.846 4.479 5.874 Å, 90.00 102.59 90.00°
Fractional coordinates of all 4 atoms:
Mg 0.000 0.000 0.000
Sc 0.707 0.500 0.282
W 0.278 0.500 0.740
W 0.434 0.000 0.533

=====

No. 8
MgScW2: relaxed, GGA-PBE.

Values from the calculation:
Final energy ... -8.223 eV per atom
DOS(E_F) ... 4.13 states/eV/cell
Crystal system ... orthorhombic

Cell: 2.849 2.849 9.623 Å, 90.00 90.00 109.50°
Fractional coordinates of all 4 atoms:
Mg 0.000 0.000 0.000
Sc 0.500 0.500 0.712
W 0.000 0.000 0.468
W 0.500 0.500 0.249

=====

No. 9
MgScW2: relaxed, GGA-PBE.

Values from the calculation:
Final energy ... -8.200 eV per atom
DOS(E_F) ... 4.81 states/eV/cell
Crystal system ... cubic

Cell: 4.632 4.632 4.632 Å, 60.00 60.00 60.00°
Fractional coordinates of all 4 atoms:
Mg 0.000 0.000 0.000
Sc 0.250 0.250 0.250
W 0.500 0.500 0.500
W 0.750 0.750 0.750

=====

No. 10
MgScW2: relaxed, GGA-PBE.

Values from the calculation:
Final energy ... -8.079 eV per atom
DOS(E_F) ... 3.14 states/eV/cell
Crystal system ... monoclinic

Cell: 4.925 4.925 5.518 Å, 92.64 92.64 32.66°
Fractional coordinates of all 4 atoms:
Mg 0.000 0.000 0.000
Sc 0.753 0.753 0.257
W 0.258 0.258 0.740
W 0.503 0.503 0.524

=====

No. 11
MgSc2W: relaxed, GGA-PBE.

Values from the calculation:
Final energy ... -6.529 eV per atom
DOS(E_F) ... 4.67 states/eV/cell
Crystal system ... tetragonal

Cell: 2.896 2.896 9.686 Å, 90.00 90.00 90.00°
Fractional coordinates of all 4 atoms:
Mg 0.000 0.000 0.000
Sc 0.000 0.000 0.544
Sc 0.500 0.500 0.264
W 0.500 0.500 0.772

=====

No. 12
MgScW2: relaxed, GGA-PBE.

Values from the calculation:
Final energy ... -8.273 eV per atom
DOS(E_F) ... 3.89 states/eV/cell
Crystal system ... tetragonal

Cell: 3.280 3.280 7.015 Å, 90.00 90.00 90.00°
Fractional coordinates of all 4 atoms:
Mg 0.000 0.000 0.000
Sc 0.500 0.500 0.305
W 0.000 0.000 0.560
W 0.500 0.500 0.747

=====

No. 13
Mg4ScW: relaxed, GGA-PBE.

Values from the calculation:
Final energy ... -3.806 eV per atom
DOS(E_F) ... 5.77 states/eV/cell
Crystal system ... cubic

Cell: 5.549 5.549 5.549 Å, 60.00 60.00 60.00°
Fractional coordinates of all 6 atoms:
Mg 0.376 0.376 0.376
Mg 0.376 0.376 0.872
Mg 0.376 0.872 0.376
Mg 0.872 0.376 0.376
Sc 0.000 0.000 0.000
W 0.750 0.750 0.750

=====

No. 14
MgSc2W: relaxed, GGA-PBE.

Values from the calculation:
Final energy ... -6.656 eV per atom
DOS(E_F) ... 3.74 states/eV/cell
Crystal system ... tetragonal

Cell: 2.942 2.942 9.565 Å, 90.00 90.00 90.00°
Fractional coordinates of all 4 atoms:
Mg 0.000 0.000 0.000
Sc 0.500 0.500 0.275
Sc 0.500 0.500 0.725
W 0.000 0.000 0.500

=====

No. 15
MgSc2W: relaxed, GGA-PBE.

Values from the calculation:
Final energy ... -6.536 eV per atom
DOS(E_F) ... 4.54 states/eV/cell
Crystal system ... orthorhombic

Cell: 2.901 2.901 9.794 Å, 90.00 90.00 99.49°
Fractional coordinates of all 4 atoms:
Mg 0.000 0.000 0.000
Sc 0.000 0.000 0.546
Sc 0.500 0.500 0.266
W 0.500 0.500 0.771

=====

No. 16
MgScW2: relaxed, GGA-PBE.

Values from the calculation:
Final energy ... -8.104 eV per atom
DOS(E_F) ... 3.01 states/eV/cell
Crystal system ... orthorhombic

Cell: 2.755 2.755 9.496 Å, 90.00 90.00 99.41°
Fractional coordinates of all 4 atoms:
Mg 0.000 0.000 0.000
Sc 0.000 0.000 0.500
W 0.500 0.500 0.248
W 0.500 0.500 0.752

=====

No. 17
MgSc2W: relaxed, GGA-PBE.

Values from the calculation:
Final energy ... -6.654 eV per atom
DOS(E_F) ... 3.57 states/eV/cell
Crystal system ... orthorhombic

Cell: 3.114 3.575 7.560 Å, 90.00 90.00 90.00°
Fractional coordinates of all 4 atoms:
Mg 0.000 0.000 0.000
Sc 0.500 0.500 0.285
Sc 0.500 0.500 0.715
W 0.000 0.000 0.500

=====

No. 18
MgScW2: relaxed, GGA-PBE.

Values from the calculation:
Final energy ... -8.110 eV per atom
DOS(E_F) ... 2.97 states/eV/cell
Crystal system ... tetragonal

Cell: 3.902 3.902 4.671 Å, 90.00 90.00 90.00°
Fractional coordinates of all 4 atoms:
Mg 0.000 0.000 0.000
Sc 0.500 0.500 0.000
W 0.000 0.500 0.500
W 0.500 0.000 0.500

=====

No. 19
MgScW4: relaxed, GGA-PBE.

Values from the calculation:
Final energy ... -9.681 eV per atom
DOS(E_F) ... 8.34 states/eV/cell
Crystal system ... cubic

Cell: 5.388 5.388 5.388 Å, 60.00 60.00 60.00°
Fractional coordinates of all 6 atoms:
Mg 0.000 0.000 0.000
Sc 0.750 0.750 0.750
W 0.375 0.375 0.375
W 0.375 0.375 0.876
W 0.375 0.876 0.375
W 0.876 0.375 0.375

=====

No. 20
MgSc2W: relaxed, GGA-PBE.

Values from the calculation:
Final energy ... -6.504 eV per atom
DOS(E_F) ... 4.21 states/eV/cell
Crystal system ... orthorhombic

Cell: 6.056 6.056 6.056 Å, 150.66 129.86 59.16°
Fractional coordinates of all 4 atoms:
Mg 0.000 0.000 0.000
Sc 0.452 0.452 0.000
Sc 0.741 0.241 0.500
W 0.226 0.726 0.500